# 1
Here is crystalline Cd2PdPt at its relaxed geometry from Alexandria. Energies are from PBE.

Summary:
Total DFT energy (no corrections)   -3.4967 eV/atom
N(E_F)   0.37 states/eV/atom

Unit cell a=4.643 b=4.643 c=4.643 alpha=60.00 beta=60.00 gamma=60.00
Fractional coordinates of all 4 atoms:
Cd 0.000 0.000 0.000
Cd 0.250 0.250 0.250
Pd 0.500 0.500 0.500
Pt 0.750 0.750 0.750

***

# 2
Here is crystalline Mg3CoSn3Pd2 at its relaxed geometry from Alexandria. Energies are from PBE.

Summary:
Total DFT energy (no corrections)   -4.2383 eV/atom
N(E_F)   0.48 states/eV/atom

Unit cell a=7.526 b=7.526 c=3.391 alpha=90.00 beta=90.00 gamma=120.00
Fractional coordinates of all 9 atoms:
Mg 0.000 0.390 0.000
Mg 0.390 0.000 0.000
Mg 0.610 0.610 0.000
Co 0.000 0.000 0.000
Sn 0.000 0.734 0.500
Sn 0.266 0.266 0.500
Sn 0.734 0.000 0.500
Pd 0.333 0.667 0.500
Pd 0.667 0.333 0.500

***

# 3
Here is crystalline Nd6TcHg2 at its relaxed geometry from Alexandria. Energies are from PBE.

Summary:
Total DFT energy (no corrections)   -4.5969 eV/atom
N(E_F)   1.39 states/eV/atom

Unit cell a=4.094 b=8.579 c=8.579 alpha=118.38 beta=90.00 gamma=90.00
Fractional coordinates of all 9 atoms:
Nd 0.000 0.000 0.000
Nd 0.000 0.513 0.746
Nd 0.000 0.746 0.513
Nd 0.500 0.149 0.746
Nd 0.500 0.350 0.350
Nd 0.500 0.746 0.149
Tc 0.500 0.777 0.777
Hg 0.000 0.079 0.416
Hg 0.000 0.416 0.079

***

# 4
Here is crystalline Ac2PtClO4 at its relaxed geometry from Alexandria. Energies are from PBE.

Summary:
Formation energy (no corrections)   -50.784 kcal/mol of atoms
N(E_F)   0.09 states/eV/atom

Unit cell a=4.753 b=4.753 c=9.465 alpha=108.53 beta=108.53 gamma=46.87
Fractional coordinates of all 8 atoms:
Ac 0.189 0.189 0.277
Ac 0.811 0.811 0.723
Pt 0.000 0.000 0.500
Cl 0.500 0.500 0.000
O 0.129 0.129 0.728
O 0.384 0.384 0.551
O 0.616 0.616 0.449
O 0.871 0.871 0.272